Sm3Ir | the Alexandria database | PBE | optimized geometry; raw total energy = -5.87 eV per atom; formation energy from the elements = -0.115 eV per atom
1.0
3.5294 0.0000 0.0000
0.0000 3.7167 0.0000
0.0000 0.0000 9.3981
Sm Ir
3 1
Direct
0.0000 0.0000 0.0000 Sm
0.0000 0.5000 0.3444 Sm
0.5000 0.5000 0.7127 Sm
0.5000 0.0000 0.4874 Ir